No. 1
# BeAl3Os | Alexandria | PBE-GGA | relaxed
data_BeAl3Os
_cell_length_a 4.1771
_cell_length_b 4.1771
_cell_length_c 4.1771
_cell_angle_alpha 90.00
_cell_angle_beta 90.00
_cell_angle_gamma 90.00
_space_group_name_H-M_alt 'P m -3 m'
_space_group_IT_number 221
_space_group_name_Hall '-P 4 2 3'
loop_
_atom_site_label
_atom_site_type_symbol
_atom_site_fract_x
_atom_site_fract_y
_atom_site_fract_z
_atom_site_occupancy
Be1 Be 0.0000 0.0000 0.0000 1
Al1 Al 0.0000 0.0000 0.5000 1
Os1 Os 0.5000 0.5000 0.5000 1
# Formation enthalpy at 0 K: 0.7033 eV/atom
# N(E_F): 4.266 states/eV per cell
# Crystal system: cubic

No. 2
# BeAl2Os2 | Alexandria | PBE-GGA | relaxed
data_BeAl2Os2
_cell_length_a 3.6458
_cell_length_b 3.6458
_cell_length_c 12.4148
_cell_angle_alpha 90.00
_cell_angle_beta 90.00
_cell_angle_gamma 90.00
_space_group_name_H-M_alt 'I 4/m m m'
_space_group_IT_number 139
_space_group_name_Hall '-I 4 2'
loop_
_atom_site_label
_atom_site_type_symbol
_atom_site_fract_x
_atom_site_fract_y
_atom_site_fract_z
_atom_site_occupancy
Be1 Be 0.0000 0.0000 0.0000 1
Al1 Al 0.0000 0.0000 0.3991 1
Os1 Os 0.0000 0.5000 0.2500 1
# Formation enthalpy at 0 K: 0.6390 eV/atom
# N(E_F): 9.487 states/eV per cell
# Crystal system: tetragonal

No. 3
# Be2AlOs | Alexandria | PBE-GGA | relaxed
data_Be2AlOs
_cell_length_a 3.0749
_cell_length_b 3.7544
_cell_length_c 7.7338
_cell_angle_alpha 90.00
_cell_angle_beta 90.00
_cell_angle_gamma 90.00
_space_group_name_H-M_alt 'I m m 2'
_space_group_IT_number 44
_space_group_name_Hall 'I 2 -2'
loop_
_atom_site_label
_atom_site_type_symbol
_atom_site_fract_x
_atom_site_fract_y
_atom_site_fract_z
_atom_site_occupancy
Be1 Be 0.0000 0.0000 0.0000 1
Be2 Be 0.0000 0.5000 0.2741 1
Al1 Al 0.0000 0.0000 0.5102 1
Os1 Os 0.0000 0.5000 0.7447 1
# Formation enthalpy at 0 K: -0.3281 eV/atom
# N(E_F): 1.864 states/eV per cell
# Crystal system: orthorhombic

No. 4
# PuBeAlOs | Alexandria | PBE-GGA | relaxed
data_PuBeAlOs
_cell_length_a 4.0504
_cell_length_b 4.0504
_cell_length_c 14.8440
_cell_angle_alpha 90.00
_cell_angle_beta 90.00
_cell_angle_gamma 120.00
_space_group_name_H-M_alt 'R 3 m'
_space_group_IT_number 160
_space_group_name_Hall 'R 3 -2"'
loop_
_atom_site_label
_atom_site_type_symbol
_atom_site_fract_x
_atom_site_fract_y
_atom_site_fract_z
_atom_site_occupancy
Pu1 Pu 0.0000 0.0000 0.0000 1
Be1 Be 0.0000 0.0000 0.7917 1
Al1 Al 0.0000 0.0000 0.1996 1
Os1 Os 0.0000 0.0000 0.4530 1
# Formation enthalpy at 0 K: -0.0895 eV/atom
# N(E_F): 23.505 states/eV per cell
# Crystal system: trigonal

No. 5
# SmBeAl2Os2 | Alexandria | PBE-GGA | relaxed
data_SmBeAl2Os2
_cell_length_a 4.3340
_cell_length_b 4.3340
_cell_length_c 5.4522
_cell_angle_alpha 90.00
_cell_angle_beta 90.00
_cell_angle_gamma 90.00
_space_group_name_H-M_alt 'P 4/m m m'
_space_group_IT_number 123
_space_group_name_Hall '-P 4 2'
loop_
_atom_site_label
_atom_site_type_symbol
_atom_site_fract_x
_atom_site_fract_y
_atom_site_fract_z
_atom_site_occupancy
Sm1 Sm 0.0000 0.0000 0.0000 1
Be1 Be 0.0000 0.0000 0.5000 1
Al1 Al 0.5000 0.5000 0.2470 1
Os1 Os 0.0000 0.5000 0.5000 1
# Formation enthalpy at 0 K: -0.3542 eV/atom
# N(E_F): 1.966 states/eV per cell
# Crystal system: tetragonal

No. 6
# TaBeAlOs | Alexandria | PBE-GGA | relaxed
data_TaBeAlOs
_cell_length_a 6.0943
_cell_length_b 6.0943
_cell_length_c 6.0943
_cell_angle_alpha 90.00
_cell_angle_beta 90.00
_cell_angle_gamma 90.00
_space_group_name_H-M_alt 'F -4 3 m'
_space_group_IT_number 216
_space_group_name_Hall 'F -4 2 3'
loop_
_atom_site_label
_atom_site_type_symbol
_atom_site_fract_x
_atom_site_fract_y
_atom_site_fract_z
_atom_site_occupancy
Ta1 Ta 0.0000 0.0000 0.0000 1
Be1 Be 0.2500 0.2500 0.7500 1
Al1 Al 0.0000 0.0000 0.5000 1
Os1 Os 0.2500 0.2500 0.2500 1
# Formation enthalpy at 0 K: -0.3298 eV/atom
# N(E_F): 0.578 states/eV per cell
# Crystal system: cubic

No. 7
# ThBeAl2Os2 | Alexandria | PBE-GGA | relaxed
data_ThBeAl2Os2
_cell_length_a 4.3354
_cell_length_b 4.3354
_cell_length_c 5.4828
_cell_angle_alpha 90.00
_cell_angle_beta 90.00
_cell_angle_gamma 90.00
_space_group_name_H-M_alt 'P 4/m m m'
_space_group_IT_number 123
_space_group_name_Hall '-P 4 2'
loop_
_atom_site_label
_atom_site_type_symbol
_atom_site_fract_x
_atom_site_fract_y
_atom_site_fract_z
_atom_site_occupancy
Th1 Th 0.0000 0.0000 0.0000 1
Be1 Be 0.0000 0.0000 0.5000 1
Al1 Al 0.5000 0.5000 0.2458 1
Os1 Os 0.0000 0.5000 0.5000 1
# Formation enthalpy at 0 K: -0.3835 eV/atom
# N(E_F): 3.393 states/eV per cell
# Crystal system: tetragonal

No. 8
# YBeAl2Os2 | Alexandria | PBE-GGA | relaxed
data_YBeAl2Os2
_cell_length_a 4.3229
_cell_length_b 4.3229
_cell_length_c 5.3809
_cell_angle_alpha 90.00
_cell_angle_beta 90.00
_cell_angle_gamma 90.00
_space_group_name_H-M_alt 'P 4/m m m'
_space_group_IT_number 123
_space_group_name_Hall '-P 4 2'
loop_
_atom_site_label
_atom_site_type_symbol
_atom_site_fract_x
_atom_site_fract_y
_atom_site_fract_z
_atom_site_occupancy
Y1 Y 0.0000 0.0000 0.0000 1
Be1 Be 0.0000 0.0000 0.5000 1
Al1 Al 0.5000 0.5000 0.2449 1
Os1 Os 0.0000 0.5000 0.5000 1
# Formation enthalpy at 0 K: -0.3513 eV/atom
# N(E_F): 1.815 states/eV per cell
# Crystal system: tetragonal

No. 9
# ZrBeAlOs2 | Alexandria | PBE-GGA | relaxed
data_ZrBeAlOs2
_cell_length_a 4.8281
_cell_length_b 4.8281
_cell_length_c 4.9992
_cell_angle_alpha 90.00
_cell_angle_beta 90.00
_cell_angle_gamma 90.00
_space_group_name_H-M_alt 'P 4/m m m'
_space_group_IT_number 123
_space_group_name_Hall '-P 4 2'
loop_
_atom_site_label
_atom_site_type_symbol
_atom_site_fract_x
_atom_site_fract_y
_atom_site_fract_z
_atom_site_occupancy
Zr1 Zr 0.0000 0.0000 0.0000 1
Be1 Be 0.5000 0.5000 0.5000 1
Al1 Al 0.0000 0.0000 0.5000 1
Os1 Os 0.0000 0.5000 0.0000 1
# Formation enthalpy at 0 K: 2.2692 eV/atom
# N(E_F): 4.814 states/eV per cell
# Crystal system: tetragonal

No. 10
# BeAlP2 | Alexandria | PBE-GGA | relaxed
data_BeAlP2
_cell_length_a 6.0122
_cell_length_b 6.0122
_cell_length_c 6.0122
_cell_angle_alpha 90.00
_cell_angle_beta 90.00
_cell_angle_gamma 90.00
_space_group_name_H-M_alt 'F m -3 m'
_space_group_IT_number 225
_space_group_name_Hall '-F 4 2 3'
loop_
_atom_site_label
_atom_site_type_symbol
_atom_site_fract_x
_atom_site_fract_y
_atom_site_fract_z
_atom_site_occupancy
Be1 Be 0.0000 0.0000 0.0000 1
Al1 Al 0.0000 0.0000 0.5000 1
P1 P 0.2500 0.2500 0.2500 1
# Formation enthalpy at 0 K: 0.3820 eV/atom
# N(E_F): 6.771 states/eV per cell
# Crystal system: cubic

No. 11
# BeAlP | Alexandria | PBE-GGA | relaxed
data_BeAlP
_cell_length_a 5.7234
_cell_length_b 5.7234
_cell_length_c 5.7234
_cell_angle_alpha 90.00
_cell_angle_beta 90.00
_cell_angle_gamma 90.00
_space_group_name_H-M_alt 'F -4 3 m'
_space_group_IT_number 216
_space_group_name_Hall 'F -4 2 3'
loop_
_atom_site_label
_atom_site_type_symbol
_atom_site_fract_x
_atom_site_fract_y
_atom_site_fract_z
_atom_site_occupancy
Be1 Be 0.0000 0.0000 0.0000 1
Al1 Al 0.2500 0.2500 0.7500 1
P1 P 0.0000 0.0000 0.5000 1
# Formation enthalpy at 0 K: 0.4288 eV/atom
# N(E_F): 2.613 states/eV per cell
# Crystal system: cubic

No. 12
# BeAlP2 | Alexandria | PBE-GGA | relaxed
data_BeAlP2
_cell_length_a 3.4185
_cell_length_b 5.0301
_cell_length_c 6.6216
_cell_angle_alpha 90.00
_cell_angle_beta 90.00
_cell_angle_gamma 90.00
_space_group_name_H-M_alt 'C m m m'
_space_group_IT_number 65
_space_group_name_Hall '-C 2 2'
loop_
_atom_site_label
_atom_site_type_symbol
_atom_site_fract_x
_atom_site_fract_y
_atom_site_fract_z
_atom_site_occupancy
Be1 Be 0.0000 0.0000 0.0000 1
Al1 Al 0.0000 0.0000 0.5000 1
P1 P 0.0000 0.5000 0.2252 1
# Formation enthalpy at 0 K: 0.2698 eV/atom
# N(E_F): 1.955 states/eV per cell
# Crystal system: orthorhombic

No. 13
# BeAl2P | Alexandria | PBE-GGA | relaxed
data_BeAl2P
_cell_length_a 2.6408
_cell_length_b 3.1423
_cell_length_c 7.0591
_cell_angle_alpha 90.00
_cell_angle_beta 90.00
_cell_angle_gamma 90.00
_space_group_name_H-M_alt 'P m m m'
_space_group_IT_number 47
_space_group_name_Hall '-P 2 2'
loop_
_atom_site_label
_atom_site_type_symbol
_atom_site_fract_x
_atom_site_fract_y
_atom_site_fract_z
_atom_site_occupancy
Be1 Be 0.0000 0.0000 0.0000 1
Al1 Al 0.5000 0.5000 0.2236 1
P1 P 0.5000 0.0000 0.5000 1
# Formation enthalpy at 0 K: 0.1275 eV/atom
# N(E_F): 0.880 states/eV per cell
# Crystal system: orthorhombic

No. 14
# BeAlP2 | Alexandria | PBE-GGA | relaxed
data_BeAlP2
_cell_length_a 3.7639
_cell_length_b 3.7640
_cell_length_c 5.0631
_cell_angle_alpha 90.00
_cell_angle_beta 90.07
_cell_angle_gamma 90.00
_space_group_name_H-M_alt 'P 1 m 1'
_space_group_IT_number 6
_space_group_name_Hall 'P -2y'
loop_
_atom_site_label
_atom_site_type_symbol
_atom_site_fract_x
_atom_site_fract_y
_atom_site_fract_z
_atom_site_occupancy
Be1 Be 0.0000 0.0000 0.0000 1
Al1 Al 0.5002 0.5000 0.5000 1
P1 P 0.0007 0.5000 0.7828 1
P2 P 0.5004 0.0000 0.2173 1
# Formation enthalpy at 0 K: -0.2350 eV/atom
# N(E_F): 1.940 states/eV per cell
# Crystal system: monoclinic

No. 15
# BeAlP2 | Alexandria | PBE-GGA | relaxed
data_BeAlP2
_cell_length_a 5.9919
_cell_length_b 3.4479
_cell_length_c 5.9151
_cell_angle_alpha 90.00
_cell_angle_beta 110.96
_cell_angle_gamma 90.00
_space_group_name_H-M_alt 'C 1 2/m 1'
_space_group_IT_number 12
_space_group_name_Hall '-C 2y'
loop_
_atom_site_label
_atom_site_type_symbol
_atom_site_fract_x
_atom_site_fract_y
_atom_site_fract_z
_atom_site_occupancy
Be1 Be 0.0000 0.0000 0.0000 1
Al1 Al 0.0000 0.5000 0.5000 1
P1 P 0.2308 0.5000 0.2259 1
# Formation enthalpy at 0 K: -0.0504 eV/atom
# N(E_F): 2.330 states/eV per cell
# Crystal system: monoclinic

No. 16
# BeAl2P | Alexandria | PBE-GGA | relaxed
data_BeAl2P
_cell_length_a 4.0141
_cell_length_b 4.2808
_cell_length_c 6.5412
_cell_angle_alpha 90.00
_cell_angle_beta 90.00
_cell_angle_gamma 90.00
_space_group_name_H-M_alt 'C m m 2'
_space_group_IT_number 35
_space_group_name_Hall 'C 2 -2'
loop_
_atom_site_label
_atom_site_type_symbol
_atom_site_fract_x
_atom_site_fract_y
_atom_site_fract_z
_atom_site_occupancy
Be1 Be 0.0000 0.0000 0.0000 1
Al1 Al 0.0000 0.0000 0.5609 1
Al2 Al 0.0000 0.5000 0.2516 1
P1 P 0.0000 0.5000 0.8333 1
# Formation enthalpy at 0 K: 0.1987 eV/atom
# N(E_F): 1.899 states/eV per cell
# Crystal system: orthorhombic

No. 17
# BeAlP2 | Alexandria | PBE-GGA | relaxed
data_BeAlP2
_cell_length_a 5.0656
_cell_length_b 6.5116
_cell_length_c 3.2455
_cell_angle_alpha 90.00
_cell_angle_beta 90.00
_cell_angle_gamma 90.00
_space_group_name_H-M_alt 'C m m m'
_space_group_IT_number 65
_space_group_name_Hall '-C 2 2'
loop_
_atom_site_label
_atom_site_type_symbol
_atom_site_fract_x
_atom_site_fract_y
_atom_site_fract_z
_atom_site_occupancy
Be1 Be 0.0000 0.0000 0.0000 1
Al1 Al 0.0000 0.5000 0.0000 1
P1 P 0.2500 0.2500 0.5000 1
# Formation enthalpy at 0 K: 0.2973 eV/atom
# N(E_F): 2.748 states/eV per cell
# Crystal system: orthorhombic

No. 18
# BeAlP2 | Alexandria | PBE-GGA | relaxed
data_BeAlP2
_cell_length_a 3.3991
_cell_length_b 4.0080
_cell_length_c 8.6977
_cell_angle_alpha 90.00
_cell_angle_beta 90.00
_cell_angle_gamma 90.00
_space_group_name_H-M_alt 'C m m 2'
_space_group_IT_number 35
_space_group_name_Hall 'C 2 -2'
loop_
_atom_site_label
_atom_site_type_symbol
_atom_site_fract_x
_atom_site_fract_y
_atom_site_fract_z
_atom_site_occupancy
Be1 Be 0.0000 0.0000 0.0000 1
Al1 Al 0.0000 0.5000 0.7784 1
P1 P 0.0000 0.0000 0.5518 1
P2 P 0.0000 0.5000 0.1737 1
# Formation enthalpy at 0 K: 0.3222 eV/atom
# N(E_F): 3.135 states/eV per cell
# Crystal system: orthorhombic

No. 19
# BeAl2P | Alexandria | PBE-GGA | relaxed
data_BeAl2P
_cell_length_a 4.1125
_cell_length_b 4.1125
_cell_length_c 3.3001
_cell_angle_alpha 90.00
_cell_angle_beta 90.00
_cell_angle_gamma 90.00
_space_group_name_H-M_alt 'P 4/m m m'
_space_group_IT_number 123
_space_group_name_Hall '-P 4 2'
loop_
_atom_site_label
_atom_site_type_symbol
_atom_site_fract_x
_atom_site_fract_y
_atom_site_fract_z
_atom_site_occupancy
Be1 Be 0.0000 0.0000 0.0000 1
Al1 Al 0.0000 0.5000 0.5000 1
P1 P 0.5000 0.5000 0.0000 1
# Formation enthalpy at 0 K: 0.2418 eV/atom
# N(E_F): 1.455 states/eV per cell
# Crystal system: tetragonal

No. 20
# BeAl2P | Alexandria | PBE-GGA | relaxed
data_BeAl2P
_cell_length_a 3.6200
_cell_length_b 3.3332
_cell_length_c 5.1054
_cell_angle_alpha 90.00
_cell_angle_beta 110.75
_cell_angle_gamma 90.00
_space_group_name_H-M_alt 'P 1 m 1'
_space_group_IT_number 6
_space_group_name_Hall 'P -2y'
loop_
_atom_site_label
_atom_site_type_symbol
_atom_site_fract_x
_atom_site_fract_y
_atom_site_fract_z
_atom_site_occupancy
Be1 Be 0.0000 0.0000 0.0000 1
Al1 Al 0.2650 0.0000 0.5153 1
Al2 Al 0.5825 0.5000 0.1569 1
P1 P 0.8600 0.5000 0.6994 1
# Formation enthalpy at 0 K: 0.0579 eV/atom
# N(E_F): 0.950 states/eV per cell
# Crystal system: monoclinic